The following is a DFT calculation (PBE) of crystalline ScTcHg2 at its relaxed geometry.

The structure in POSCAR format:
```
ScTcHg2
1.0
6.7578 0.0000 0.0000
0.0000 6.7578 0.0000
0.0000 0.0000 6.7578
Sc Tc Hg
4 4 8
Direct
0.0000 0.0000 0.0000 Sc
0.0000 0.5000 0.5000 Sc
0.5000 0.0000 0.5000 Sc
0.5000 0.5000 0.0000 Sc
0.2500 0.2500 0.2500 Tc
0.2500 0.7500 0.7500 Tc
0.7500 0.2500 0.7500 Tc
0.7500 0.7500 0.2500 Tc
0.0000 0.0000 0.5000 Hg
0.0000 0.5000 0.0000 Hg
0.2500 0.2500 0.7500 Hg
0.2500 0.7500 0.2500 Hg
0.5000 0.0000 0.0000 Hg
0.5000 0.5000 0.5000 Hg
0.7500 0.2500 0.2500 Hg
0.7500 0.7500 0.7500 Hg
```

Computed properties:
The total magnetization comes out at 0.000 μB/atom. The theoretical density comes out at 11.7 g/cm³. Its energy above the most stable polymorph in this dataset is 5.280 kcal/mol of atoms. The calculation puts the formation energy at 0.27 eV per atom.